Compound: Cr3HCl
Source: Alexandria via LeMat-Bulk
Functional: PBE-GGA
Structure: relaxed

a = 3.796 Å, b = 3.796 Å, c = 3.796 Å
α = 90.00°, β = 90.00°, γ = 90.00°
Element x y z (fractional)
Cr1 0.000 0.000 0.500
Cr2 0.000 0.500 0.000
Cr3 0.500 0.000 0.000
H1 0.000 0.000 0.000
Cl1 0.500 0.500 0.500

DOS at the Fermi energy   5.650 states/eV per cell
Symmetry   Pm-3m, No. 221
Raw total energy   -5.960 eV/atom
Total moment   5.4 μB per formula unit